No. 1
A plane-wave DFT calculation with PBE was carried out for AlCrBr4 after structural relaxation.

POSCAR file:
```
AlCrBr4
1.0
0.0000 4.5164 4.5164
4.5164 0.0000 4.5164
4.5164 4.5164 0.0000
Br Al Cr
4 1 1
Direct
0.8750 0.3750 0.3750 Br
0.3750 0.8750 0.3750 Br
0.3750 0.3750 0.3750 Br
0.3750 0.3750 0.8750 Br
0.0000 0.0000 0.0000 Al
0.7500 0.7500 0.7500 Cr
```

Properties
space group	No. 216
total DFT energy (no corrections)	-2.632	eV/atom

No. 2
A plane-wave DFT calculation with PBE was carried out for AlCrBr2 after structural relaxation.

POSCAR file:
```
AlCrBr2
1.0
3.6072 -0.1038 0.0000
-1.7926 3.1319 0.0000
0.0000 0.0000 9.5427
Br Cr Al
2 1 1
Direct
0.5000 0.5000 0.3296 Br
0.0000 0.0000 0.9224 Br
0.0000 0.0000 0.5191 Cr
0.5000 0.5000 0.7289 Al
```

Properties
space group	No. 35
energy relative to the lowest polymorph listed for this composition	104	meV/atom
total DFT energy (no corrections)	-4.297	eV/atom

No. 3
A plane-wave DFT calculation with PBE was carried out for AlCrBr2 after structural relaxation.

POSCAR file:
```
AlCrBr2
1.0
9.1994 0.0000 0.0000
0.0000 9.1994 0.0000
4.5997 4.5997 2.6637
Cr Br Al
2 4 2
Direct
0.7500 0.2500 0.5000 Cr
0.0000 0.0000 0.0000 Cr
0.3750 0.2296 0.7500 Br
0.9796 0.6250 0.2500 Br
0.7704 0.1250 0.2500 Br
0.8750 0.0204 0.7500 Br
0.2500 0.7500 0.5000 Al
0.5000 0.5000 0.0000 Al
```

Properties
space group	No. 122
energy relative to the lowest polymorph listed for this composition	196	meV/atom
total DFT energy (no corrections)	-4.205	eV/atom

No. 4
A plane-wave DFT calculation with PBE was carried out for Al2CrBr after structural relaxation.

POSCAR file:
```
Al2CrBr
1.0
3.1158 0.0000 0.0000
0.0000 3.1158 0.0000
0.0000 0.0000 7.4032
Al Br Cr
2 1 1
Direct
0.0000 0.0000 0.5581 Al
0.0000 0.0000 0.9419 Al
0.5000 0.5000 0.2500 Br
0.5000 0.5000 0.7500 Cr
```

Properties
space group	No. 123
energy relative to the lowest polymorph listed for this composition	0	meV/atom
total DFT energy (no corrections)	-4.574	eV/atom

No. 5
A plane-wave DFT calculation with PBE was carried out for AlCrBr after structural relaxation.

POSCAR file:
```
AlCrBr
1.0
-1.7713 -4.0282 -1.3195
2.4290 -2.7981 -2.7158
1.7066 -3.9205 1.6801
Cr Al Br
1 1 1
Direct
0.7500 0.7500 0.7500 Cr
0.0000 0.0000 0.0000 Al
0.5000 0.5000 0.5000 Br
```

Properties
space group	No. 216
energy relative to the lowest polymorph listed for this composition	358	meV/atom
total DFT energy (no corrections)	-4.429	eV/atom

No. 6
A plane-wave DFT calculation with PBE was carried out for Al2CrBr after structural relaxation.

POSCAR file:
```
Al2CrBr
1.0
-0.5439 3.4657 3.2673
-4.0869 2.4991 0.1858
-3.0228 -0.6180 3.6693
Al Cr Br
2 1 1
Direct
0.0000 0.0000 0.0000 Al
0.7500 0.7500 0.7500 Al
0.2500 0.2500 0.2500 Cr
0.5000 0.5000 0.5000 Br
```

Properties
space group	No. 216
energy relative to the lowest polymorph listed for this composition	418	meV/atom
total DFT energy (no corrections)	-4.155	eV/atom

No. 7
A plane-wave DFT calculation with PBE was carried out for AlCrBr2 after structural relaxation.

POSCAR file:
```
AlCrBr2
1.0
-1.6767 1.1698 -2.5916
1.0327 -2.5527 -1.8203
-7.0927 -4.6462 2.4918
Br Al Cr
2 1 1
Direct
0.5000 0.5000 0.3524 Br
0.0000 0.0000 0.9066 Br
0.5000 0.5000 0.7108 Al
0.0000 0.0000 0.5301 Cr
```

Properties
space group	No. 99
energy relative to the lowest polymorph listed for this composition	163	meV/atom
total DFT energy (no corrections)	-4.238	eV/atom

No. 8
A plane-wave DFT calculation with PBE was carried out for AlCrBr2 after structural relaxation.

POSCAR file:
```
AlCrBr2
1.0
9.1265 -1.1360 2.5687
9.2147 -2.3308 -0.9160
9.4614 1.2750 -0.1978
Br Al Cr
2 1 1
Direct
0.1088 0.1088 0.1088 Br
0.8912 0.8912 0.8912 Br
0.0000 0.0000 0.0000 Al
0.5000 0.5000 0.5000 Cr
```

Properties
space group	No. 166
energy relative to the lowest polymorph listed for this composition	173	meV/atom
total DFT energy (no corrections)	-4.228	eV/atom

| no. | formation energy from raw total energies (eV per atom) | D(E_F) (states/eV per cell) |
| --- | --- | --- |
| 1 | 0.711 | 7.97 |
| 2 | -0.119 | 2.66 |
| 3 | -0.027 | 3.94 |
| 4 | 0.122 | 1.36 |
| 5 | 0.584 | 2.32 |
| 6 | 0.540 | 2.08 |
| 7 | -0.061 | 1.99 |
| 8 | -0.050 | 7.58 |